ScBe4Ni after structural relaxation. Source: Alexandria, functional PBE.

Values from the calculation:
- density (g/cm³) = 3.68
- energy relative to the lowest polymorph listed for this composition (meV/atom) = 0
- uncorrected energy (eV per cell) = -28.32
- calculated volume (Å³/cell) = 63.1
- magnetic moment (μB per cell) = 0.3
- N(E_F) (states/eV/atom) = 0.6786
- symmetry = F-43m, No. 216
- ΔE_f (eV per atom) = -0.217

Cell: 4.468 4.468 4.468 Å, 60.00 60.00 60.00°
Sites, in units of the cell vectors:
Ni (0.250, 0.250, 0.250)
Sc (0.000, 0.000, 0.000)
Be (0.623, 0.130, 0.623)
Be (0.623, 0.623, 0.130)
Be (0.130, 0.623, 0.623)
Be (0.623, 0.623, 0.623)

***

ScBeNi3 after structural relaxation. Source: Alexandria, functional PBE.

Values from the calculation:
- density (g/cm³) = 6.06
- energy relative to the lowest polymorph listed for this composition (meV/atom) = 3
- uncorrected energy (eV per cell) = -28.52
- calculated volume (Å³/cell) = 63.1
- magnetic moment (μB per cell) = 0.0
- N(E_F) (states/eV/atom) = 1.0125
- symmetry = Pm-3m, No. 221
- ΔE_f (eV per atom) = -0.224

Cell: 3.980 3.980 3.980 Å, 90.00 90.00 90.00°
Sites, in units of the cell vectors:
Ni (0.000, 0.500, 0.000)
Ni (0.500, 0.000, 0.000)
Be (0.000, 0.000, 0.000)
Ni (0.000, 0.000, 0.500)
Sc (0.500, 0.500, 0.500)

***

Sc3BeNi after structural relaxation. Source: Alexandria, functional PBE.

Values from the calculation:
- density (g/cm³) = 3.04
- energy relative to the lowest polymorph listed for this composition (meV/atom) = 0
- uncorrected energy (eV per cell) = -27.00
- calculated volume (Å³/cell) = 110.8
- magnetic moment (μB per cell) = 0.0
- N(E_F) (states/eV/atom) = 2.3710
- symmetry = Pm-3m, No. 221
- ΔE_f (eV per atom) = 0.300

Cell: 4.803 4.803 4.803 Å, 90.00 90.00 90.00°
Sites, in units of the cell vectors:
Sc (0.000, 0.000, 0.500)
Be (0.500, 0.500, 0.500)
Sc (0.500, 0.000, 0.000)
Sc (0.000, 0.500, 0.000)
Ni (0.000, 0.000, 0.000)

***

ScBeNi2 after structural relaxation. Source: Alexandria, functional PBE.

Values from the calculation:
- density (g/cm³) = 5.31
- uncorrected energy (eV per cell) = -23.07
- calculated volume (Å³/cell) = 53.6
- magnetic moment (μB per cell) = 0.0
- N(E_F) (states/eV/atom) = 0.6574
- symmetry = C2/m, No. 12
- ΔE_f (eV per atom) = -0.363

Cell: 3.837 3.837 4.753 Å, 66.20 66.20 59.89°
Sites, in units of the cell vectors:
Be (0.250, 0.250, 0.250)
Ni (0.543, 0.543, 0.371)
Ni (0.957, 0.957, 0.129)
Sc (0.750, 0.750, 0.750)

***

ScBe2Ni2 after structural relaxation. Source: Alexandria, functional PBE.

Values from the calculation:
- density (g/cm³) = 5.21
- energy relative to the lowest polymorph listed for this composition (meV/atom) = 117
- uncorrected energy (eV per cell) = -53.20
- calculated volume (Å³/cell) = 115.1
- magnetic moment (μB per cell) = 0.3
- N(E_F) (states/eV/atom) = 0.7930
- symmetry = P4/mbm, No. 127
- ΔE_f (eV per atom) = -0.251

Cell: 6.700 6.700 2.563 Å, 90.00 90.00 90.00°
Sites, in units of the cell vectors:
Ni (0.359, 0.859, 0.000)
Be (0.647, 0.853, 0.500)
Sc (0.000, 0.000, 0.000)
Be (0.853, 0.353, 0.500)
Ni (0.859, 0.641, 0.000)
Be (0.353, 0.147, 0.500)
Ni (0.641, 0.141, 0.000)
Sc (0.500, 0.500, 0.000)
Be (0.147, 0.647, 0.500)
Ni (0.141, 0.359, 0.000)

***

Sc2BeSi4Ni3 after structural relaxation. Source: Alexandria, functional PBE.

Values from the calculation:
- density (g/cm³) = 4.69
- uncorrected energy (eV per cell) = -62.56
- formation energy without anion corrections (eV/atom) = -0.714
- calculated volume (Å³/cell) = 137.3
- magnetic moment (μB per cell) = 0.0
- N(E_F) (states/eV/atom) = 0.3277
- symmetry = P-4m2, No. 115

Cell: 3.721 3.721 9.915 Å, 90.00 90.00 90.00°
Sites, in units of the cell vectors:
Ni (0.500, 0.000, 0.864)
Ni (0.000, 0.500, 0.136)
Si (0.500, 0.500, 0.000)
Si (0.000, 0.000, 0.000)
Sc (0.500, 0.000, 0.257)
Be (0.500, 0.500, 0.500)
Sc (0.000, 0.500, 0.743)
Ni (0.000, 0.000, 0.500)
Si (0.000, 0.500, 0.363)
Si (0.500, 0.000, 0.637)

***

ScBe2SiNi after structural relaxation. Source: Alexandria, functional PBE.

Values from the calculation:
- density (g/cm³) = 3.93
- uncorrected energy (eV per cell) = -27.23
- formation energy without anion corrections (eV/atom) = -0.448
- calculated volume (Å³/cell) = 63.3
- magnetic moment (μB per cell) = 0.0
- N(E_F) (states/eV/atom) = 0.6242
- symmetry = Imm2, No. 44

Cell: 3.674 3.671 5.361 Å, 110.02 110.04 90.00°
Sites, in units of the cell vectors:
Sc (0.445, 0.445, 0.889)
Be (0.688, 0.188, 0.376)
Be (0.063, 0.063, 0.126)
Si (0.828, 0.828, 0.657)
Ni (0.188, 0.688, 0.377)

***

TbScBeNi after structural relaxation. Source: Alexandria, functional PBE.

Values from the calculation:
- density (g/cm³) = 6.28
- uncorrected energy (eV per cell) = -21.08
- calculated volume (Å³/cell) = 71.8
- magnetic moment (μB per cell) = 0.0
- N(E_F) (states/eV/atom) = 0.8721
- symmetry = F-43m, No. 216
- ΔE_f (eV per atom) = -0.153

Cell: 4.665 4.665 4.665 Å, 60.00 60.00 60.00°
Sites, in units of the cell vectors:
Ni (0.250, 0.250, 0.250)
Tb (0.000, 0.000, 0.000)
Be (0.750, 0.750, 0.750)
Sc (0.500, 0.500, 0.500)